A geometry-optimized LiMg2Ru structure. Source: Alexandria via LeMat-Bulk, functional PBE-GGA.

Calculated values
N(E_F) in states/eV/f.u.: 2.4
Size of the total moment in μB per atom: 0.000
Energy relative to the elements in eV per atom: -0.01
Space-group type: Cmmm

Unit cell a=7.086 b=4.417 c=3.336 alpha=90.00 beta=61.92 gamma=128.63
Atoms (fractional coordinates):
Ru: 0.000 0.500 0.500
Mg: 0.000 0.000 0.000
Mg: 0.500 0.000 0.500
Li: 0.500 0.500 0.000